ZrHgP2: relaxed, PBE-GGA.

Cell lengths 5.9415, 5.9415, 11.9120 Å; angles 90.00, 90.00, 90.00 degrees
With the nearest neighbours (Å) after each atom.
Space group I-42d (No. 122)
One atom of each set of equivalent atoms:
Zr 0.0000 0.0000 0.0000 (multiplicity 4)  4 P 2.54
Hg 0.0000 0.0000 0.5000 (multiplicity 4)  4 P 2.61
P 0.2387 0.2500 0.1250 (multiplicity 8)  2 Zr 2.54, 2 Hg 2.61

Formation energy from the elements   -237 meV/atom
Total DFT energy (no corrections)   -5.1545 eV per atom

---

CuOsPt: relaxed, PBE-GGA.

Cell lengths 2.6994, 4.6248, 13.9160 Å; angles 90.00, 90.00, 90.00 degrees
With the nearest neighbours (Å) after each atom.
Space group Fmm2 (No. 42)
One atom of each set of equivalent atoms:
Cu 0.0000 0.0000 0.0000 (multiplicity 4)  2 Os 2.59, 2 Pt 2.64, 6 Cu 2.68-2.70
Os 0.0000 0.0000 0.6591 (multiplicity 4)  2 Cu 2.59, 6 Os 2.68-2.70, 2 Pt 2.82
Pt 0.0000 0.0000 0.3371 (multiplicity 4)  2 Cu 2.64, 6 Pt 2.68-2.70, 2 Os 2.82

Formation energy from the elements   318 meV/atom
Total DFT energy (no corrections)   -6.8040 eV per atom
Relative energy among the computed polymorphs   0.493 eV/f.u.

---

GdZr2Cr: relaxed, PBE-GGA.

Cell lengths 3.2172, 3.2172, 30.6376 Å; angles 90.00, 90.00, 120.00 degrees
With the nearest neighbours (Å) after each atom.
Space group R-3m (No. 166, hexagonal axes)
One atom of each set of equivalent atoms:
Gd 0.0000 0.0000 0.0000 (multiplicity 3)  2 Zr 3.18, 6 Gd 3.22
Zr 0.0000 0.0000 0.1039 (multiplicity 6)  3 Cr 2.67
Cr 0.0000 0.0000 0.5000 (multiplicity 3)  6 Zr 2.67

Formation energy from the elements   454 meV/atom
Total DFT energy (no corrections)   -9.7460 eV per atom

---

MgGaP3: relaxed, PBE-GGA.

Cell lengths 4.7164, 4.7164, 4.7164 Å; angles 90.00, 90.00, 90.00 degrees
With the nearest neighbours (Å) after each atom.
Space group Pm-3m (No. 221)
One atom of each set of equivalent atoms:
Mg 0.0000 0.0000 0.0000 (multiplicity 1)  12 P 3.33
Ga 0.5000 0.5000 0.5000 (multiplicity 1)  6 P 2.36
P 0.0000 0.5000 0.5000 (multiplicity 3)  2 Ga 2.36

Formation energy from the elements   705 meV/atom
Total DFT energy (no corrections)   -3.4657 eV per atom
Relative energy among the computed polymorphs   0.000 eV/f.u.

---

Ca3Ge8Ir3: relaxed, PBE-GGA.

Cell lengths 15.6570, 4.5454, 8.9102 Å; angles 90.00, 123.78, 90.00 degrees
With the nearest neighbours (Å) after each atom.
Space group C2/m (No. 12)
One atom of each set of equivalent atoms:
Ca 0.0000 0.0000 0.0000 (multiplicity 2)  8 Ge 3.18-3.24, 4 Ir 3.27
Ca 0.2122 0.5000 0.7090 (multiplicity 4)  11 Ge 3.05-3.41, 3 Ir 3.23
Ge 0.0036 0.5000 0.6731 (multiplicity 4)  3 Ir 2.49-2.73, 1 Ge 2.73
Ge 0.1395 0.0000 0.4294 (multiplicity 4)  1 Ir 2.59, 3 Ge 2.71-2.80
Ge 0.1543 0.5000 0.2792 (multiplicity 4)  1 Ir 2.47, 3 Ge 2.71-2.73
Ge 0.1564 0.0000 0.8731 (multiplicity 4)  4 Ir 2.56-2.83
Ir 0.0000 0.0000 0.5000 (multiplicity 2)  8 Ge 2.59-2.83
Ir 0.1490 0.5000 0.9974 (multiplicity 4)  5 Ge 2.47-2.59

Formation energy from the elements   -451 meV/atom
Total DFT energy (no corrections)   -5.4176 eV per atom

---

ZnNiP2: relaxed, PBE-GGA.

Cell lengths 3.3332, 3.3332, 5.0879 Å; angles 90.00, 90.00, 90.00 degrees
With the nearest neighbours (Å) after each atom.
Space group P4/mmm (No. 123)
One atom of each set of equivalent atoms:
Zn 0.0000 0.0000 0.0000 (multiplicity 1)  2 Ni 2.54, 8 P 2.78
Ni 0.0000 0.0000 0.5000 (multiplicity 1)  2 Zn 2.54, 8 P 2.58
P 0.5000 0.5000 0.2914 (multiplicity 2)  1 P 2.12

Formation energy from the elements   100 meV/atom
Total DFT energy (no corrections)   -4.3687 eV per atom

---

Ba2RhAuN: relaxed, PBE-GGA.

Cell lengths 6.1251, 6.1251, 3.8304 Å; angles 90.00, 90.00, 90.00 degrees
With the nearest neighbours (Å) after each atom.
Space group P4/mmm (No. 123)
One atom of each set of equivalent atoms:
Ba 0.0000 0.5000 0.0000 (multiplicity 2)  2 Rh 3.06
Rh 0.0000 0.0000 0.0000 (multiplicity 1)  2 N 1.92
Au 0.5000 0.5000 0.5000 (multiplicity 1)  8 Ba 3.61, 2 Au 3.83
N 0.0000 0.0000 0.5000 (multiplicity 1)  2 Rh 1.92

Uncorrected formation energy   -0.245 eV/atom
Total DFT energy (no corrections)   -4.8046 eV per atom
Relative energy among the computed polymorphs   1.757 eV/f.u.

---

Sm5Tl2Ru: relaxed, PBE-GGA.

Cell lengths 7.9739, 12.3208, 4.7520 Å; angles 90.00, 90.00, 90.00 degrees
With the nearest neighbours (Å) after each atom.
Space group Pbam (No. 55)
One atom of each set of equivalent atoms:
Sm 0.0000 0.0000 0.0000 (multiplicity 2)  4 Tl 3.22, 4 Sm 3.57
Sm 0.1390 0.2984 0.0000 (multiplicity 4)  1 Ru 2.72
Sm 0.1834 0.5706 0.5000 (multiplicity 4)  2 Ru 2.92
Tl 0.0745 0.8308 0.5000 (multiplicity 4)  9 Sm 3.22-3.53
Ru 0.0000 0.5000 0.0000 (multiplicity 2)  6 Sm 2.72-2.92

Formation energy from the elements   -322 meV/atom
Total DFT energy (no corrections)   -5.0226 eV per atom
Relative energy among the computed polymorphs   0.000 eV/f.u.

---

SrH2: relaxed, PBE-GGA.

Cell lengths 3.3747, 3.3747, 7.1335 Å; angles 90.00, 90.00, 90.00 degrees
With the nearest neighbours (Å) after each atom.
Space group I4/mmm (No. 139)
One atom of each set of equivalent atoms:
Sr 0.0000 0.0000 0.0000 (multiplicity 2)  10 H 2.47-2.63
H 0.0000 0.0000 0.3466 (multiplicity 4)  1 H 2.19

Total DFT energy (no corrections)   -3.1637 eV per atom

---

Pm3ZnPb2: relaxed, PBE-GGA.

Cell lengths 16.5996, 6.4949, 6.5389 Å; angles 90.00, 103.53, 90.00 degrees
With the nearest neighbours (Å) after each atom.
Space group C2/c (No. 15)
One atom of each set of equivalent atoms:
Pm 0.0000 0.1656 0.2500 (multiplicity 4)  2 Zn 3.10-3.40, 4 Pb 3.23-3.35
Pm 0.1679 0.3953 0.6020 (multiplicity 8)  1 Zn 3.17, 5 Pb 3.26-3.53, 3 Pm 3.50-3.54
Zn 0.0000 0.3578 0.7500 (multiplicity 4)  4 Pm 3.10-3.40, 2 Pb 3.30
Pb 0.1573 0.1033 0.0436 (multiplicity 8)  7 Pm 3.23-3.53, 1 Zn 3.30, 2 Pb 3.53

Formation energy from the elements   -376 meV/atom
Total DFT energy (no corrections)   -4.1999 eV per atom

---

Pr2Ir3: relaxed, PBE-GGA.

Cell lengths 4.5838, 5.4024, 8.8040 Å; angles 90.00, 90.00, 90.00 degrees
With the nearest neighbours (Å) after each atom.
Space group Immm (No. 71)
One atom of each set of equivalent atoms:
Pr 0.0000 0.0000 0.1988 (multiplicity 4)  8 Ir 2.99-3.22
Ir 0.0000 0.2571 0.5000 (multiplicity 4)  4 Ir 2.62-2.78
Ir 0.0000 0.5000 0.0000 (multiplicity 2)  4 Ir 2.68

Formation energy from the elements   -576 meV/atom
Total DFT energy (no corrections)   -7.8045 eV per atom

---

AcTbPd: relaxed, PBE-GGA.

Cell lengths 7.2725, 7.2725, 7.2725 Å; angles 90.00, 90.00, 90.00 degrees
With the nearest neighbours (Å) after each atom.
Space group F-43m (No. 216)
One atom of each set of equivalent atoms:
Ac 0.0000 0.0000 0.0000 (multiplicity 4)  4 Pd 3.15
Tb 0.0000 0.0000 0.5000 (multiplicity 4)  4 Pd 3.15
Pd 0.2500 0.2500 0.2500 (multiplicity 4)  4 Ac 3.15, 4 Tb 3.15

Formation energy from the elements   -363 meV/atom
Total DFT energy (no corrections)   -5.0072 eV per atom
Relative energy among the computed polymorphs   0.577 eV/f.u.

---

| no. | volume (Å³ per cell) |
| --- | --- |
| 1 | 420.5 |
| 2 | 173.7 |
| 3 | 274.6 |
| 4 | 104.9 |
| 5 | 527.0 |
| 6 | 56.5 |
| 7 | 143.7 |
| 8 | 466.9 |
| 9 | 81.2 |
| 10 | 685.4 |
| 11 | 218.0 |
| 12 | 384.6 |